(1)
Ba3NbMo: optimized geometry, PBE.

## Properties
D(E_F) = 33.68 states/eV/cell
Raw total energy = -3.41 eV per atom
Volume = 205.1 Å³/f.u.
Energy relative to the elements = 185.45 kJ/mol of atoms
SG = No. 221
ρ = 4.864 g/cm³

POSCAR file:
```
Ba3NbMo
1.0
5.897 0.000 0.000
0.000 5.897 0.000
0.000 0.000 5.897
Ba Nb Mo
3 1 1
Direct
0.000 0.000 0.500 Ba
0.000 0.500 0.000 Ba
0.500 0.000 0.000 Ba
0.000 0.000 0.000 Nb
0.500 0.500 0.500 Mo
```


(2)
BaNbMo2: optimized geometry, PBE.

## Properties
D(E_F) = 11.84 states/eV/cell
Raw total energy = -7.08 eV per atom
Volume = 115.7 Å³/f.u.
Energy relative to the elements = 128.65 kJ/mol of atoms
SG = No. 141
Polymorph energy (0 for the lowest one) = 64 kJ/mol of formula units
ρ = 6.060 g/cm³

POSCAR file:
```
BaNbMo2
1.0
-2.538 2.538 8.980
2.538 -2.538 8.980
2.538 2.538 -8.980
Ba Nb Mo
2 2 4
Direct
0.375 0.625 0.750 Ba
0.625 0.375 0.250 Ba
0.125 0.875 0.250 Nb
0.875 0.125 0.750 Nb
0.000 0.000 0.000 Mo
0.000 0.000 0.500 Mo
0.000 0.500 0.000 Mo
0.500 0.000 0.500 Mo
```


(3)
BaNb2Mo: optimized geometry, PBE.

## Properties
D(E_F) = 6.96 states/eV/cell
Raw total energy = -7.15 eV per atom
Volume = 83.4 Å³/f.u.
Energy relative to the elements = 103.19 kJ/mol of atoms
SG = No. 225
Polymorph energy (0 for the lowest one) = 0 kJ/mol of formula units
ρ = 8.347 g/cm³

POSCAR file:
```
BaNb2Mo
1.0
0.000 3.467 3.467
3.467 0.000 3.467
3.467 3.467 0.000
Ba Nb Mo
1 2 1
Direct
0.000 0.000 0.000 Ba
0.250 0.250 0.250 Nb
0.750 0.750 0.750 Nb
0.500 0.500 0.500 Mo
```


(4)
BaNbMo2: optimized geometry, PBE.

## Properties
D(E_F) = 3.52 states/eV/cell
Raw total energy = -7.25 eV per atom
Volume = 81.2 Å³/f.u.
Energy relative to the elements = 112.63 kJ/mol of atoms
SG = No. 225
Polymorph energy (0 for the lowest one) = 0 kJ/mol of formula units
ρ = 8.632 g/cm³

POSCAR file:
```
BaNbMo2
1.0
0.000 3.437 3.437
3.437 0.000 3.437
3.437 3.437 0.000
Ba Nb Mo
1 1 2
Direct
0.000 0.000 0.000 Ba
0.500 0.500 0.500 Nb
0.250 0.250 0.250 Mo
0.750 0.750 0.750 Mo
```